Entry from Alexandria: a geometry-optimized V2O3 structure (PBE+U).

The calculation puts the total DFT energy (no corrections) at -319.48 eV/cell.

```
V2O3
1.0
8.2900 0.0000 0.0000
-2.7633 7.8159 0.0000
-2.7633 -3.9080 6.7688
V O
16 24
Cartesian
-1.3817 3.9080 0.0000
-1.2107 -2.0749 6.5593
-3.9740 2.8100 5.2860
-1.2107 3.7870 3.1749
3.9740 2.6891 1.6922
3.9740 5.9829 0.2094
1.3817 1.9540 3.3844
1.5527 4.7640 1.9016
1.2107 -0.8561 4.8671
4.1450 0.0000 0.0000
-1.5527 6.5971 1.6922
3.9740 0.1209 3.5938
-1.2107 1.2188 5.0766
-1.3817 -1.9540 3.3844
4.3160 -2.6891 5.0766
6.7373 1.0979 1.4827
3.4216 2.1784 3.5993
0.6583 3.9819 6.4669
2.1051 -0.0739 0.3018
3.1837 1.8238 6.6819
-0.4204 4.8951 1.5360
-1.9920 3.1954 4.9309
3.1837 -0.9872 5.2327
0.7714 3.9019 3.6862
0.9133 1.1411 5.2223
3.6766 4.6767 1.7615
1.9920 0.0061 3.0825
-0.4204 2.0841 0.0869
0.9133 -1.9099 6.5538
3.5347 4.6266 4.9204
-0.6583 1.7295 3.1694
-0.7714 -0.7186 1.8484
1.8500 2.7669 1.5465
-2.1051 5.5636 3.4713
-0.9133 -0.7688 5.0073
1.8500 5.8178 0.2149
4.7553 0.7126 1.8379
5.9471 3.0713 1.6229
-3.1837 0.8366 5.1458
4.8684 -1.6556 3.2975
```